1.
# La2Cd3Hg2

A geometry-optimized La2Cd3Hg2 structure (PBE, the Alexandria database).

a = 4.768 Å, b = 6.049 Å, c = 7.304 Å
α = 98.76°, β = 90.00°, γ = 113.21°
Element x y z (fractional)
Hg  0.891  0.782  0.341
Hg  0.109  0.218  0.659
Cd  0.717  0.434  0.867
Cd  0.000  0.000  0.000
Cd  0.283  0.566  0.133
La  0.395  0.790  0.666
La  0.605  0.210  0.334

## Properties
Calculated volume (Å³/atom): 27.3
ρ (Mg/m³): 8.84
Space group: C2/m (12)
Size of the total moment (μB per atom): 0.00
ΔE_f (eV per formula unit): -2.2

---

2.
# CsTl2HgSb

A geometry-optimized CsTl2HgSb structure (PBE, the Alexandria database).

a = 4.949 Å, b = 9.807 Å, c = 8.986 Å
α = 120.11°, β = 90.00°, γ = 90.00°
Element x y z (fractional)
Tl  0.250  0.578  0.202
Tl  0.750  0.422  0.798
Tl  0.250  0.039  0.380
Tl  0.750  0.961  0.620
Cs  0.750  0.207  0.128
Cs  0.250  0.793  0.872
Sb  0.250  0.202  0.793
Sb  0.750  0.798  0.207
Hg  0.750  0.603  0.502
Hg  0.250  0.397  0.498

## Properties
Calculated volume (Å³/atom): 37.7
ρ (Mg/m³): 7.60
Formation energy without anion corrections (meV/atom): -179.7
Space group: P2_1/m (11)
Size of the total moment (μB per atom): 0.00

---

3.
# KLi2Ca2

A geometry-optimized KLi2Ca2 structure (PBE, the Alexandria database).

a = 9.448 Å, b = 9.448 Å, c = 4.209 Å
α = 90.00°, β = 90.00°, γ = 90.00°
Element x y z (fractional)
Li  0.630  0.130  0.000
Li  0.870  0.630  0.000
Li  0.130  0.370  0.000
Li  0.370  0.870  0.000
Ca  0.654  0.846  0.500
Ca  0.846  0.346  0.500
Ca  0.346  0.154  0.500
Ca  0.154  0.654  0.500
K  0.500  0.500  0.000
K  0.000  0.000  0.000

## Properties
Calculated volume (Å³/atom): 37.6
ρ (Mg/m³): 1.18
Space group: P4/mbm (127)
Size of the total moment (μB per atom): 0.00
ΔE_f (eV per formula unit): 0.6

---

4.
# K2TmNpO4

A geometry-optimized K2TmNpO4 structure (PBE, the Alexandria database).

a = 3.497 Å, b = 6.065 Å, c = 6.594 Å
α = 107.87°, β = 90.00°, γ = 90.00°
Element x y z (fractional)
Np  0.500  0.500  0.000
O  0.500  0.221  0.184
O  0.000  0.736  0.186
O  0.000  0.264  0.814
O  0.500  0.779  0.816
K  0.000  0.500  0.500
K  0.500  0.000  0.500
Tm  0.000  0.000  0.000

## Properties
Calculated volume (Å³/atom): 16.6
ρ (Mg/m³): 6.84
Formation energy without anion corrections (meV/atom): -2485.9
Space group: P2/m (10)
Size of the total moment (μB per atom): 0.50

---

5.
# InRe2Br

A geometry-optimized InRe2Br structure (PBE, the Alexandria database).

a = 10.296 Å, b = 10.296 Å, c = 10.296 Å
α = 16.61°, β = 16.61°, γ = 16.61°
Element x y z (fractional)
In  0.736  0.736  0.736
Re  0.989  0.989  0.989
Re  0.256  0.256  0.256
Br  0.519  0.519  0.519

## Properties
Calculated volume (Å³/atom): 19.4
ρ (Mg/m³): 12.11
Formation energy without anion corrections (meV/atom): 523.4
Space group: R3m (160)
Size of the total moment (μB per atom): 0.00

---

6.
# Sc2CdTe

A geometry-optimized Sc2CdTe structure (PBE, the Alexandria database).

a = 9.967 Å, b = 9.967 Å, c = 9.967 Å
α = 21.64°, β = 21.64°, γ = 21.64°
Element x y z (fractional)
Sc  0.897  0.897  0.897
Sc  0.103  0.103  0.103
Cd  0.000  0.000  0.000
Te  0.500  0.500  0.500

## Properties
Calculated volume (Å³/atom): 29.5
ρ (Mg/m³): 4.64
Formation energy without anion corrections (meV/atom): -154.8
Space group: R-3m (166)
Size of the total moment (μB per atom): 0.00